1.
The following is a PBE calculation of an optimized crystal structure of Cr3GaPb, from Alexandria via LeMat-Bulk.

Calculated values
The total magnetic moment is 13.36 Bohr magnetons per cell. The space group is Pm-3m. The formation energy is 1485 meV per atom. The calculation puts the offset from the most stable computed form at 519 meV/atom.

abc: 5.276 5.276 5.276
angles: 90.00 90.00 90.00
Fractional coordinates of all 5 atoms:
Cr1 0.000 0.000 0.500
Pb1 0.000 0.000 0.000
Cr2 0.000 0.500 0.000
Ga1 0.500 0.500 0.500
Cr3 0.500 0.000 0.000

=====

2.
The following is a PBE calculation of an optimized crystal structure of KSrSb4, from Alexandria via LeMat-Bulk.

Calculated values
The total magnetic moment is 0.00 Bohr magnetons per cell. The space group is F-43m. For the formation energy (no corrections), the calculation gives -0.36 eV per atom.

abc: 6.501 6.501 6.501
angles: 60.00 60.00 60.00
Fractional coordinates of all 6 atoms:
Sb1 0.375 0.375 0.875
Sr1 0.750 0.750 0.750
Sb2 0.375 0.875 0.375
Sb3 0.375 0.375 0.375
Sb4 0.875 0.375 0.375
K1 0.000 0.000 0.000

=====

3.
The following is a PBE calculation of an optimized crystal structure of PmDy4Rh5, from Alexandria via LeMat-Bulk.

Calculated values
The total magnetic moment is 0.00 Bohr magnetons per cell. The space group is P4/mmm. The formation energy is -828 meV per atom.

abc: 3.412 3.412 17.545
angles: 90.00 90.00 90.00
Fractional coordinates of all 10 atoms:
Dy1 0.000 0.000 0.401
Rh1 0.500 0.500 0.500
Dy2 0.000 0.000 0.599
Dy3 0.000 0.000 0.797
Dy4 0.000 0.000 0.203
Rh2 0.500 0.500 0.106
Rh3 0.500 0.500 0.302
Rh4 0.500 0.500 0.894
Pm1 0.000 0.000 0.000
Rh5 0.500 0.500 0.698

=====

4.
The following is a PBE calculation of an optimized crystal structure of TiMnReOs, from Alexandria via LeMat-Bulk.

Calculated values
The total magnetic moment is 2.17 Bohr magnetons per cell. The space group is F-43m. The formation energy is -174 meV per atom.

abc: 4.317 4.317 4.317
angles: 60.00 60.00 60.00
Fractional coordinates of all 4 atoms:
Os1 0.000 0.000 0.000
Mn1 0.250 0.250 0.250
Re1 0.500 0.500 0.500
Ti1 0.750 0.750 0.750

=====

5.
The following is a PBE calculation of an optimized crystal structure of Si2HgRh, from Alexandria via LeMat-Bulk.

Calculated values
The total magnetic moment is 0.00 Bohr magnetons per cell. The space group is I4/mmm. For the formation energy (no corrections), the calculation gives 0.32 eV per atom.

abc: 4.771 4.771 4.771
angles: 128.38 128.38 76.01
Fractional coordinates of all 4 atoms:
Hg1 0.250 0.750 0.500
Si1 0.000 0.000 0.000
Rh1 0.750 0.250 0.500
Si2 0.500 0.500 0.000

=====

6.
The following is a PBE calculation of an optimized crystal structure of In3HAu, from Alexandria via LeMat-Bulk.

Calculated values
The total magnetic moment is 0.00 Bohr magnetons per cell. The space group is Pm-3m. The calculation puts the offset from the most stable computed form at 0 meV/atom.

abc: 4.663 4.663 4.663
angles: 90.00 90.00 90.00
Fractional coordinates of all 5 atoms:
H1 0.000 0.000 0.000
In1 0.500 0.000 0.000
Au1 0.500 0.500 0.500
In2 0.000 0.500 0.000
In3 0.000 0.000 0.500

=====

7.
The following is a PBE calculation of an optimized crystal structure of SnBN3, from Alexandria via LeMat-Bulk.

Calculated values
The total magnetic moment is 4.00 Bohr magnetons per cell. The space group is Pm-3m. For the formation energy (no corrections), the calculation gives 2.67 eV per atom.

abc: 4.177 4.177 4.177
angles: 90.00 90.00 90.00
Fractional coordinates of all 5 atoms:
B1 0.500 0.500 0.500
N1 0.000 0.500 0.000
N2 0.500 0.000 0.000
N3 0.000 0.000 0.500
Sn1 0.000 0.000 0.000

=====

8.
The following is a PBE calculation of an optimized crystal structure of CoSbTe2Ru, from Alexandria via LeMat-Bulk.

Calculated values
The total magnetic moment is 0.00 Bohr magnetons per cell. The space group is P4/mmm. For the formation energy (no corrections), the calculation gives 0.87 eV per atom. The calculation puts the offset from the most stable computed form at 0 meV/atom.

abc: 4.928 4.928 4.724
angles: 90.00 90.00 90.00
Fractional coordinates of all 5 atoms:
Co1 0.000 0.000 0.000
Ru1 0.500 0.500 0.500
Te1 0.500 0.000 0.000
Te2 0.000 0.500 0.000
Sb1 0.000 0.000 0.500

=====

Summary of total energy in hartree per atom
-0.207, -0.131, -0.251, -0.381, -0.158, -0.102, -0.164, -0.165
(order as listed above)